First-principles (GGA-PBE) data for a relaxed InPbBr6 crystal, as listed in Alexandria.

a = 7.558 Å, b = 7.558 Å, c = 7.558 Å
α = 55.14°, β = 55.14°, γ = 55.14°
Element x y z (fractional)
In1 0.000 0.000 0.000
Pb1 0.500 0.500 0.500
Br1 0.066 0.408 0.764
Br2 0.236 0.934 0.592
Br3 0.408 0.764 0.066
Br4 0.592 0.236 0.934
Br5 0.764 0.066 0.408
Br6 0.934 0.592 0.236

Calculated values
**E**: -2.68 eV per atom

***

First-principles (GGA-PBE) data for a relaxed InPb5Br11 crystal, as listed in Alexandria.

a = 9.354 Å, b = 9.354 Å, c = 9.736 Å
α = 97.19°, β = 97.19°, γ = 120.05°
Element x y z (fractional)
In1 0.000 0.000 0.000
Pb1 0.067 0.358 0.651
Pb2 0.358 0.067 0.651
Pb3 0.500 0.500 0.000
Pb4 0.642 0.933 0.349
Pb5 0.933 0.642 0.349
Br1 0.000 0.000 0.500
Br2 0.108 0.699 0.670
Br3 0.127 0.385 0.961
Br4 0.301 0.892 0.330
Br5 0.385 0.127 0.961
Br6 0.433 0.433 0.674
Br7 0.567 0.567 0.326
Br8 0.615 0.873 0.039
Br9 0.699 0.108 0.670
Br10 0.873 0.615 0.039
Br11 0.892 0.301 0.330

Calculated values
**E**: -3.18 eV per atom